Density functional theory data (PBE) for crystalline RhSeBr2 at its relaxed geometry.

Cell and atoms, written as extended XYZ:
```
4
Lattice="-8.612 1.699 -0.447 -8.173 -0.700 -3.158 -8.583 -1.877 0.268" Properties=species:S:1:pos:R:3 pbc="T T T"
Br -5.542 -0.192 -0.729
Br -0.449 -0.016 -0.059
Rh -12.414 -0.430 -1.633
Se -19.647 -0.680 -2.584
```

- ΔE to the lowest computed polymorph (eV/atom) = 0.043
- crystal system = trigonal
- energy relative to the elements, uncorrected (meV/atom) = -212

***

Density functional theory data (PBE) for crystalline AlNiP2Cl at its relaxed geometry.

Cell and atoms, written as extended XYZ:
```
5
Lattice="-2.671 3.438 0.402 -3.264 -2.671 1.151 1.285 0.451 4.690" Properties=species:S:1:pos:R:3 pbc="T T T"
P -1.335 1.719 0.201
P -1.632 -1.335 0.575
Cl 0.642 0.225 2.345
Al -2.325 0.609 3.121
Ni 0.000 0.000 0.000
```

- ΔE to the lowest computed polymorph (eV/atom) = 0.000
- crystal system = tetragonal
- energy relative to the elements, uncorrected (meV/atom) = 421

***

Density functional theory data (PBE) for crystalline Th2NbPtN5 at its relaxed geometry.

Cell and atoms, written as extended XYZ:
```
18
Lattice="-1.814 -2.272 1.791 5.335 -3.599 -2.417 5.589 2.421 8.733" Properties=species:S:1:pos:R:3 pbc="T T T"
Nb 4.626 -2.709 4.504
Nb 1.882 -1.868 -0.464
N 1.003 -0.393 0.517
N 1.906 -2.876 1.535
N 6.097 -1.053 4.838
N 8.566 -2.738 5.202
N 4.943 -2.140 2.291
N 5.559 -0.706 7.989
N 8.820 -1.059 7.589
N 3.051 -1.195 4.828
N 0.708 -0.641 3.159
N 6.218 -3.875 4.636
Th 3.650 -4.468 1.284
Th 6.744 -2.545 6.856
Th 4.717 0.696 5.660
Th 2.996 -0.632 2.233
Pt 4.649 0.899 9.104
Pt 6.695 -3.382 2.490
```

- crystal system = orthorhombic
- energy relative to the elements, uncorrected (meV/atom) = -888

***

Density functional theory data (PBE) for crystalline ZrOs2Cl at its relaxed geometry.

Cell and atoms, written as extended XYZ:
```
4
Lattice="-0.562 -4.088 -3.648 0.165 -5.289 1.527 -2.383 4.950 0.387" Properties=species:S:1:pos:R:3 pbc="T T T"
Os -0.192 -4.519 -1.022
Os -0.007 -0.170 -0.038
Cl -1.209 -2.514 0.427
Zr -1.572 -1.913 -2.161
```

- ΔE to the lowest computed polymorph (eV/atom) = 0.246
- crystal system = orthorhombic
- energy relative to the elements, uncorrected (meV/atom) = 219

***

Density functional theory data (PBE) for crystalline KTaRh2 at its relaxed geometry.

Cell and atoms, written as extended XYZ:
```
4
Lattice="-1.351 -3.045 1.108 0.477 -1.374 -3.196 7.046 -2.372 2.072" Properties=species:S:1:pos:R:3 pbc="T T T"
K 5.036 -4.053 0.566
Rh 1.540 -2.876 -0.462
Rh 0.518 -0.174 0.152
Ta 2.600 -0.875 0.765
```

- ΔE to the lowest computed polymorph (eV/atom) = 0.245
- ΔH_f (0 K) (eV per atom) = 0.340
- crystal system = tetragonal

***

Density functional theory data (PBE) for crystalline SrBeCr2 at its relaxed geometry.

Cell and atoms, written as extended XYZ:
```
4
Lattice="4.117 -0.052 0.039 2.667 3.137 0.039 1.303 0.592 5.846" Properties=species:S:1:pos:R:3 pbc="T T T"
Be 2.021 0.919 1.481
Cr 6.683 3.039 1.049
Cr 4.143 1.884 1.992
Sr 6.064 2.758 4.444
```

- ΔH_f (0 K) (eV per atom) = 0.643
- crystal system = monoclinic